1) Here is a relaxed structure of EuMg2Tl from Alexandria via LeMat-Bulk. Energies are from PBE.

- magnetization (μB/atom) = 1.841
- crystal system = tetragonal
- symmetry = P4/mmm, No. 123

Structure (CIF):
```
data_EuMg2Tl
_chemical_formula_sum 'Eu1 Mg2 Tl1'
_symmetry_space_group_name_H-M 'P 1'
_symmetry_Int_Tables_number 1
_symmetry_space_group_name_Hall 'P 1'
_cell_length_a 5.0351
_cell_length_b 4.6870
_cell_length_c 4.6870
_cell_angle_alpha 90.00
_cell_angle_beta 90.00
_cell_angle_gamma 90.00
loop_
_atom_site_label
_atom_site_fract_x
_atom_site_fract_y
_atom_site_fract_z
_atom_site_occupancy
Eu1 0.5000 0.0000 0.0000 1
Tl1 0.5000 0.5000 0.5000 1
Mg1 0.0000 0.0000 0.5000 1
Mg2 0.0000 0.5000 0.0000 1
```

---

2) Here is a relaxed structure of EuMg2Tl from Alexandria via LeMat-Bulk. Energies are from PBE.

- magnetization (μB/atom) = 1.806
- crystal system = tetragonal
- symmetry = P4/mmm, No. 123

Structure (CIF):
```
data_EuMg2Tl
_chemical_formula_sum 'Eu1 Mg2 Tl1'
_symmetry_space_group_name_H-M 'P 1'
_symmetry_Int_Tables_number 1
_symmetry_space_group_name_Hall 'P 1'
_cell_length_a 3.8459
_cell_length_b 3.8459
_cell_length_c 7.6578
_cell_angle_alpha 90.00
_cell_angle_beta 90.00
_cell_angle_gamma 90.00
loop_
_atom_site_label
_atom_site_fract_x
_atom_site_fract_y
_atom_site_fract_z
_atom_site_occupancy
Eu1 0.5000 0.5000 0.5000 1
Tl1 0.5000 0.5000 0.0000 1
Mg1 0.0000 0.0000 0.7833 1
Mg2 0.0000 0.0000 0.2167 1
```

---

3) Here is a relaxed structure of EuMg2Tl from Alexandria via LeMat-Bulk. Energies are from PBE.

- magnetization (μB/atom) = 1.786
- crystal system = cubic
- symmetry = Fm-3m, No. 225

Structure (CIF):
```
data_EuMg2Tl
_chemical_formula_sum 'Eu1 Mg2 Tl1'
_symmetry_space_group_name_H-M 'P 1'
_symmetry_Int_Tables_number 1
_symmetry_space_group_name_Hall 'P 1'
_cell_length_a 5.2938
_cell_length_b 5.2938
_cell_length_c 5.2938
_cell_angle_alpha 60.00
_cell_angle_beta 60.00
_cell_angle_gamma 60.00
loop_
_atom_site_label
_atom_site_fract_x
_atom_site_fract_y
_atom_site_fract_z
_atom_site_occupancy
Eu1 0.5000 0.5000 0.5000 1
Tl1 0.0000 0.0000 0.0000 1
Mg1 0.2500 0.2500 0.2500 1
Mg2 0.7500 0.7500 0.7500 1
```

---

Pick 1): it beats the second-best structure by 3.2 kJ/mol of atoms.